Computed, not measured: a crystal of ZrCoSi relaxed with PBEsol at the meta-GGA SCAN level of DFT.

a = 3.176 Å, b = 3.999 Å, c = 3.999 Å
α = 120.00°, β = 90.00°, γ = 90.00°
Sites, in units of the cell vectors:
Co: 0.000 0.000 0.000
Zr: 0.500 0.667 0.333
Si: 0.000 0.333 0.667

Values from the calculation:
- E_form (uncorrected): -0.70 eV/atom
- Fermi-level density of states: 0.52 states/eV per atom
- Space-group type: P-6m2, No. 187
- M_tot: 0.7 μB/f.u.